Below is crystalline VO2 at its relaxed geometry, with properties calculated at the PBE+U level.

```
VO2
1.0
5.216 0.000 0.000
0.000 5.408 0.000
0.000 0.000 9.187
O V
16 8
Direct
0.309 0.364 0.508
0.032 0.121 0.227
0.809 0.136 0.508
0.191 0.364 0.008
0.809 0.636 0.992
0.968 0.379 0.727
0.691 0.136 0.008
0.468 0.621 0.773
0.032 0.621 0.273
0.532 0.379 0.227
0.309 0.864 0.992
0.191 0.864 0.492
0.691 0.636 0.492
0.968 0.879 0.773
0.468 0.121 0.727
0.532 0.879 0.273
0.357 0.097 0.129
0.357 0.597 0.371
0.857 0.403 0.129
0.643 0.903 0.871
0.143 0.597 0.871
0.643 0.403 0.629
0.143 0.097 0.629
0.857 0.903 0.371
```

## Properties
Space group: Pbca (61)
DFT total energy (eV for the cell shown): -186.5
Total magnetic moment (μB per formula unit): 1.0